First-principles (PBE) data for NaCaLaAg after structural relaxation, as listed in Alexandria.

Unit cell a=7.813 b=7.813 c=7.813 alpha=90.00 beta=90.00 gamma=90.00
Space group F-43m (No. 216)
Asymmetric unit:
Na 0.000 0.000 0.000
Ca 0.250 0.250 0.750
La 0.250 0.250 0.250
Ag 0.000 0.000 0.500

energy of formation from the pure elements = -0.049 eV per formula unit

First-principles (PBE) data for AlZn2Cl after structural relaxation, as listed in Alexandria.

Unit cell a=4.013 b=4.013 c=9.799 alpha=90.00 beta=90.00 gamma=90.00
Space group I-4m2 (No. 119)
Asymmetric unit:
Al 0.000 0.000 0.000
Zn 0.000 0.000 0.500
Zn 0.000 0.500 0.250
Cl 0.000 0.500 0.750

ΔE_f (raw) = 103 meV/atom

First-principles (PBE) data for Na2Hg2Au3 after structural relaxation, as listed in Alexandria.

Unit cell a=10.749 b=4.525 c=7.283 alpha=90.00 beta=113.48 gamma=90.00
Space group C2/m (No. 12)
Asymmetric unit:
Na 0.130 0.000 0.252
Hg 0.165 0.000 0.720
Au 0.000 0.500 0.500
Au 0.093 0.500 0.917

energy of formation from the pure elements = -1.513 eV per formula unit

First-principles (PBE) data for Pr3Tl2Rh3 after structural relaxation, as listed in Alexandria.

Unit cell a=3.553 b=5.101 c=21.092 alpha=90.00 beta=90.00 gamma=90.00
Space group Immm (No. 71)
Asymmetric unit:
Pr 0.000 0.000 0.000
Pr 0.000 0.500 0.120
Tl 0.000 0.000 0.226
Rh 0.000 0.000 0.500
Rh 0.000 0.500 0.386

energy of formation from the pure elements = -3.289 eV per formula unit

First-principles (PBE) data for Th4HgBiOs2 after structural relaxation, as listed in Alexandria.

Unit cell a=4.339 b=13.551 c=15.812 alpha=90.00 beta=90.00 gamma=90.00
Space group Cmcm (No. 63)
Asymmetric unit:
Th 0.000 0.000 0.000
Th 0.000 0.277 0.085
Th 0.000 0.478 0.750
Hg 0.000 0.169 0.250
Bi 0.000 0.150 0.750
Os 0.000 0.370 0.570

energy of formation from the pure elements = -0.869 eV per formula unit

First-principles (PBE) data for FeHg2Ir after structural relaxation, as listed in Alexandria.

Unit cell a=4.694 b=4.694 c=3.126 alpha=90.00 beta=90.00 gamma=90.00
Space group P4/mmm (No. 123)
Asymmetric unit:
Fe 0.000 0.000 0.000
Hg 0.000 0.500 0.500
Ir 0.500 0.500 0.000

energy of formation from the pure elements = 2.295 eV per formula unit

First-principles (PBE) data for DyNiP2Rh2 after structural relaxation, as listed in Alexandria.

Unit cell a=4.261 b=4.261 c=5.425 alpha=90.00 beta=90.00 gamma=90.00
Space group P4/mmm (No. 123)
Asymmetric unit:
Dy 0.000 0.000 0.000
Ni 0.000 0.000 0.500
P 0.000 0.500 0.500
Rh 0.500 0.500 0.251

energy of formation from the pure elements = -2.653 eV per formula unit

First-principles (PBE) data for LaIr3 after structural relaxation, as listed in Alexandria.

Unit cell a=3.256 b=3.256 c=7.123 alpha=90.00 beta=90.00 gamma=90.00
Space group P4/mmm (No. 123)
Asymmetric unit:
La 0.000 0.000 0.000
Ir 0.000 0.000 0.500
Ir 0.500 0.500 0.308

energy of formation from the pure elements = 0.477 eV per formula unit

First-principles (PBE) data for GdDy3C after structural relaxation, as listed in Alexandria.

Unit cell a=5.055 b=5.055 c=5.055 alpha=90.00 beta=90.00 gamma=90.00
Space group Pm-3m (No. 221)
Asymmetric unit:
Gd 0.000 0.000 0.000
Dy 0.000 0.500 0.500
C 0.500 0.500 0.500

energy of formation from the pure elements = -0.048 eV per formula unit

First-principles (PBE) data for FeOs2Rh after structural relaxation, as listed in Alexandria.

Unit cell a=2.663 b=3.775 c=5.330 alpha=90.00 beta=90.00 gamma=90.00
Space group Pmmm (No. 47)
Asymmetric unit:
Fe 0.000 0.000 0.000
Os 0.500 0.500 0.236
Rh 0.000 0.000 0.500

energy of formation from the pure elements = 0.573 eV per formula unit

First-principles (PBE) data for Dy2ZnSe after structural relaxation, as listed in Alexandria.

Unit cell a=3.575 b=3.575 c=7.103 alpha=90.00 beta=90.00 gamma=90.00
Space group P4/mmm (No. 123)
Asymmetric unit:
Dy 0.000 0.000 0.250
Zn 0.500 0.500 0.000
Se 0.500 0.500 0.500

ΔE_f (raw) = -836 meV/atom

First-principles (PBE) data for Y7Hg2Rh2 after structural relaxation, as listed in Alexandria.

Unit cell a=7.985 b=10.950 c=7.140 alpha=90.00 beta=90.00 gamma=90.00
Space group Cmmm (No. 65)
Asymmetric unit:
Y 0.000 0.000 0.000
Y 0.000 0.500 0.246
Y 0.250 0.250 0.253
Hg 0.184 0.000 0.500
Rh 0.000 0.289 0.000

energy of formation from the pure elements = -4.516 eV per formula unit

First-principles (PBE) data for Tm4OsRh2 after structural relaxation, as listed in Alexandria.

Unit cell a=7.093 b=7.147 c=7.157 alpha=107.77 beta=107.56 gamma=107.16
Space group P1 (No. 1)
Asymmetric unit:
Tm 0.000 0.000 0.000
Tm 0.047 0.580 0.196
Tm 0.201 0.056 0.603
Tm 0.327 0.732 0.863
Tm 0.483 0.405 0.149
Tm 0.605 0.870 0.540
Tm 0.660 0.454 0.726
Tm 0.832 0.227 0.371
Os 0.647 0.151 0.930
Os 0.906 0.670 0.553
Rh 0.026 0.311 0.811
Rh 0.269 0.409 0.441
Rh 0.387 0.037 0.287
Rh 0.751 0.791 0.174

energy of formation from the pure elements = -4.350 eV per formula unit

First-principles (PBE) data for YTmCdRu after structural relaxation, as listed in Alexandria.

Unit cell a=7.079 b=7.079 c=7.079 alpha=90.00 beta=90.00 gamma=90.00
Space group F-43m (No. 216)
Asymmetric unit:
Y 0.000 0.000 0.000
Tm 0.000 0.000 0.500
Cd 0.250 0.250 0.250
Ru 0.250 0.250 0.750

energy of formation from the pure elements = -1.242 eV per formula unit

First-principles (PBE) data for Na3Np3OsN8 after structural relaxation, as listed in Alexandria.

Unit cell a=6.6400 b=6.6400 c=17.1106 alpha=90.00 beta=90.00 gamma=120.00
Space group R-3m (No. 166, hexagonal axes)
Asymmetric unit:
Na 0.0000 0.5000 0.0000
Np 0.0000 0.5000 0.5000
Os 0.0000 0.0000 0.5000
N 0.0000 0.0000 0.2299
N 0.0028 0.5014 0.2266

ΔE_f (raw) = -520 meV/atom

First-principles (PBE) data for KPbCl2 after structural relaxation, as listed in Alexandria.

Unit cell a=4.295 b=4.295 c=15.141 alpha=90.00 beta=90.00 gamma=90.00
Space group I-4m2 (No. 119)
Asymmetric unit:
K 0.000 0.000 0.000
Pb 0.000 0.500 0.750
Cl 0.000 0.000 0.500
Cl 0.000 0.500 0.250

ΔE_f (raw) = -1036 meV/atom

First-principles (PBE) data for ZnBr after structural relaxation, as listed in Alexandria.

Unit cell a=3.8254 b=3.8254 c=3.8236 alpha=90.00 beta=90.00 gamma=120.00
Space group P-6m2 (No. 187)
Asymmetric unit:
Zn 0.0000 0.0000 0.0000
Br 0.3333 0.6667 0.5000

ΔE_f (raw) = -85 meV/atom

First-principles (PBE) data for Sm5Sc4 after structural relaxation, as listed in Alexandria.

Unit cell a=10.415 b=10.415 c=4.865 alpha=90.00 beta=90.00 gamma=90.00
Space group I4/mmm (No. 139)
Asymmetric unit:
Sm 0.000 0.000 0.000
Sm 0.000 0.327 0.000
Sc 0.167 0.167 0.500

energy of formation from the pure elements = 0.525 eV per formula unit

First-principles (PBE) data for CoP2Pt after structural relaxation, as listed in Alexandria.

Unit cell a=3.744 b=3.285 c=4.570 alpha=90.00 beta=98.17 gamma=90.00
Space group Pm (No. 6)
Asymmetric unit:
Co 0.000 0.000 0.000
P 0.590 0.500 0.930
P 0.890 0.000 0.491
Pt 0.391 0.500 0.404

energy of formation from the pure elements = -0.851 eV per formula unit

First-principles (PBE) data for KScTa3 after structural relaxation, as listed in Alexandria.

Unit cell a=4.711 b=4.711 c=4.711 alpha=90.00 beta=90.00 gamma=90.00
Space group Pm-3m (No. 221)
Asymmetric unit:
K 0.000 0.000 0.000
Sc 0.500 0.500 0.500
Ta 0.000 0.000 0.500

energy of formation from the pure elements = 12.954 eV per formula unit

First-principles (PBE) data for Y3Zr2UN6 after structural relaxation, as listed in Alexandria.

Unit cell a=5.849 b=10.148 c=5.884 alpha=90.00 beta=109.16 gamma=90.00
Space group C2/m (No. 12)
Asymmetric unit:
Y 0.000 0.000 0.000
Y 0.000 0.331 0.000
Zr 0.000 0.167 0.500
U 0.000 0.500 0.500
N 0.240 0.337 0.731
N 0.249 0.500 0.273

ΔE_f (raw) = -1673 meV/atom

First-principles (PBE) data for Sc6Bi3C after structural relaxation, as listed in Alexandria.

Unit cell a=12.520 b=12.631 c=6.241 alpha=90.00 beta=90.00 gamma=90.00
Space group Cmc2_1 (No. 36)
Asymmetric unit:
Sc 0.000 0.017 0.000
Sc 0.000 0.217 0.608
Sc 0.138 0.217 0.195
Sc 0.140 0.439 0.571
Bi 0.000 0.381 0.953
Bi 0.195 0.102 0.740
C 0.000 0.131 0.292

energy of formation from the pure elements = -3.816 eV per formula unit

First-principles (PBE) data for TcSnN2F after structural relaxation, as listed in Alexandria.

Unit cell a=4.155 b=4.155 c=4.052 alpha=90.00 beta=90.00 gamma=90.00
Space group P4/mmm (No. 123)
Asymmetric unit:
Tc 0.000 0.000 0.000
Sn 0.500 0.500 0.500
N 0.000 0.500 0.500
F 0.500 0.500 0.000

ΔE_f (raw) = 824 meV/atom

First-principles (PBE) data for Co2ReRh after structural relaxation, as listed in Alexandria.

Unit cell a=6.538 b=6.538 c=5.154 alpha=90.00 beta=90.00 gamma=90.00
Space group I-42d (No. 122)
Asymmetric unit:
Co 0.227 0.250 0.125
Re 0.000 0.000 0.000
Rh 0.000 0.000 0.500

energy of formation from the pure elements = 2.468 eV per formula unit

First-principles (PBE) data for Zr2TlSi after structural relaxation, as listed in Alexandria.

Unit cell a=7.003 b=7.003 c=7.003 alpha=90.00 beta=90.00 gamma=90.00
Space group F-43m (No. 216)
Asymmetric unit:
Zr 0.000 0.000 0.000
Zr 0.250 0.250 0.250
Tl 0.250 0.250 0.750
Si 0.000 0.000 0.500

ΔE_f (raw) = 385 meV/atom